Rb2MnTeO4 (PBE with a Hubbard U, relaxed); D(E_F) = 2.149 states/eV/cell; total magnetization = 0.625 μB/atom; DFT total energy = -5.203 eV/atom
1.0
5.3760 -4.5502 0.0000
5.3760 4.5502 0.0000
-4.7152 0.0000 6.0388
Rb Mn Te O
4 2 2 8
Direct
0.0000 0.0000 0.0000
0.0000 0.0000 0.5000
0.0000 0.5000 0.0000
0.5000 0.0000 0.5000
0.5000 0.5000 0.0000
0.5000 0.5000 0.5000
0.0000 0.5000 0.5000
0.5000 0.0000 0.0000
0.2199 0.6237 0.4478
0.2662 0.3694 0.6946
0.3694 0.2662 0.1946
0.3763 0.7801 0.0522
0.6237 0.2199 0.9478
0.6306 0.7338 0.8054
0.7338 0.6306 0.3054
0.7801 0.3763 0.5522